# 1
A plane-wave DFT calculation with PBE was carried out for a relaxed Al2TlTe crystal.

a b c (Å): 3.917 3.099 8.398
angles (deg): 90.20 90.00 90.00
Fractional positions:
Te1 0.000 0.502 0.451
Tl1 0.500 0.498 0.792
Al1 0.000 0.000 0.046
Al2 0.500 0.501 0.211

Properties
The calculated volume is 25.5 Å³/atom. Its crystal system is monoclinic. The calculation puts the density of states at the Fermi level at 1.6 states/eV per cell. As for the space-group type: Pm, No. 6. For the total magnetization, the calculation gives 0.00 μB per cell. The total energy is -12.72 eV/f.u.

---

# 2
A plane-wave DFT calculation with PBE was carried out for a relaxed Nd3HIr crystal.

a b c (Å): 3.931 7.485 8.694
angles (deg): 73.17 90.01 90.00
Fractional positions:
Nd1 0.363 0.319 0.424
Nd2 0.363 0.069 0.069
Nd3 0.863 0.596 0.070
Nd4 0.864 0.792 0.422
Ir1 0.363 0.694 0.746
Nd5 0.863 0.417 0.764
H1 0.363 0.194 0.747
Ir2 0.863 0.194 0.246
Nd6 0.863 0.971 0.729
H2 0.364 0.694 0.246

Properties
The calculated volume is 24.5 Å³/atom. Its crystal system is monoclinic. The calculation puts the density of states at the Fermi level at 6.4 states/eV per cell. As for the space-group type: Pm, No. 6. For the total magnetization, the calculation gives 0.00 μB per cell. The total energy is -28.43 eV/f.u.

---

# 3
A plane-wave DFT calculation with PBE was carried out for a relaxed LaOsPt crystal.

a b c (Å): 5.566 5.566 5.566
angles (deg): 142.00 142.00 54.83
Fractional positions:
La1 0.005 0.005 0.000
Pt1 0.712 0.712 0.000
Os1 0.283 0.283 0.000

Properties
The calculated volume is 21.6 Å³/atom. Its crystal system is tetragonal. Its formation energy is 0.012 eV/atom. The calculation puts the density of states at the Fermi level at 4.1 states/eV per cell. As for the space-group type: I4mm, No. 107. For the total magnetization, the calculation gives 0.00 μB per cell. The total energy is -22.16 eV/f.u.

---

# 4
A plane-wave DFT calculation with PBE was carried out for a relaxed Ca3PmDy3S8 crystal.

a b c (Å): 7.910 7.910 7.987
angles (deg): 119.69 90.00 120.00
Fractional positions:
S1 0.743 0.993 0.743
S2 0.750 0.007 0.257
S3 0.750 0.500 0.257
S4 0.250 0.500 0.743
S5 0.252 0.504 0.257
S6 0.748 0.496 0.743
S7 0.250 0.993 0.743
Ca1 0.000 0.500 0.000
Ca2 0.500 0.500 0.000
Dy1 0.000 0.500 0.500
Ca3 0.000 0.000 0.000
Pm1 0.000 0.000 0.500
Dy2 0.500 0.500 0.500
Dy3 0.500 0.000 0.500
S8 0.257 0.007 0.257

Properties
The calculated volume is 23.7 Å³/atom. Its crystal system is trigonal. The calculation puts the density of states at the Fermi level at 4.7 states/eV per cell. As for the space-group type: R-3m, No. 166. For the total magnetization, the calculation gives 0.00 μB per cell. The total energy is -88.67 eV/f.u.

---

# 5
A plane-wave DFT calculation with PBE was carried out for a relaxed Dy3Zn2Hg2 crystal.

a b c (Å): 4.283 3.563 10.959
angles (deg): 90.00 78.73 90.00
Fractional positions:
Dy1 0.000 0.000 0.000
Hg1 0.418 0.500 0.165
Zn1 0.720 0.500 0.560
Zn2 0.280 0.500 0.440
Hg2 0.582 0.500 0.835
Dy2 0.836 0.000 0.327
Dy3 0.164 0.000 0.673

Properties
The calculated volume is 23.4 Å³/atom. Its crystal system is orthorhombic. Its formation energy is -0.388 eV/atom. The calculation puts the density of states at the Fermi level at 6.4 states/eV per cell. As for the space-group type: Cmmm, No. 65. For the total magnetization, the calculation gives 0.00 μB per cell. The total energy is -19.67 eV/f.u.

---

# 6
A plane-wave DFT calculation with PBE was carried out for a relaxed ZnRu2Rh2 crystal.

a b c (Å): 6.879 6.879 6.879
angles (deg): 150.43 150.43 42.31
Fractional positions:
Rh1 0.402 0.402 0.000
Zn1 0.000 0.000 0.000
Ru1 0.750 0.250 0.500
Ru2 0.250 0.750 0.500
Rh2 0.598 0.598 0.000

Properties
The calculated volume is 15.8 Å³/atom. Its crystal system is tetragonal. Its formation energy is 0.331 eV/atom. The calculation puts the density of states at the Fermi level at 6.2 states/eV per cell. As for the space-group type: I4/mmm, No. 139. For the total magnetization, the calculation gives 0.00 μB per cell. The total energy is -32.87 eV/f.u.